Material: SbMoOs2
Method: DFT, SCAN
State: PBEsol geometry

Output
- ρ (g cm⁻³) = 15.644
- raw formation energy (eV/atom) = 0.51
- SG = No. 10
- M_tot (Bohr magnetons per cell) = 0.0

```
SbMoOs2
1.0
2.858 0.000 0.013
0.000 4.173 0.000
-1.290 0.000 5.317
Os Sb Mo
2 1 1
direct
0.891 0.000 0.258
0.109 0.000 0.742
0.500 0.500 0.000
0.500 0.500 0.500
```

Material: Ca2MnCu
Method: DFT, SCAN
State: PBEsol geometry

Output
- energy above the lowest structure with this stoichiometry (meV per atom) = 0
- ρ (g cm⁻³) = 3.429
- SG = No. 38
- formation energy from the elements (eV per atom) = 0.0262
- M_tot (Bohr magnetons per cell) = 3.8

```
Ca2MnCu
1.0
4.060 0.000 0.000
0.000 4.316 0.000
0.000 -2.158 5.490
Mn Ca Cu
1 2 1
direct
0.500 0.568 0.137
0.500 0.268 0.535
0.000 0.978 0.955
0.000 0.688 0.377
```

Result set for volume: 15.87 24.05 Å³/atom, one per record in the order listed.